# 1
A plane-wave DFT calculation with PBE was carried out for a geometry-optimized Sm2BeCu3Ge4 structure.

Cell lengths 4.0927, 4.0927, 10.2851 Å; angles 90.00, 90.00, 90.00 degrees
With the nearest neighbours (Å) after each atom.
Fractional coordinates of all 10 atoms:
1 Sm 0.5000 0.0000 0.2574  8 Ge 3.12-3.35, 6 Cu 3.15-3.23, 2 Be 3.23
2 Sm 0.0000 0.5000 0.7426  8 Ge 3.12-3.35, 6 Cu 3.15-3.23, 2 Be 3.23
3 Be 0.5000 0.5000 0.5000  4 Ge 2.44
4 Cu 0.0000 0.0000 0.5000  4 Ge 2.44
5 Cu 0.5000 0.0000 0.8623  5 Ge 2.39-2.49
6 Cu 0.0000 0.5000 0.1377  5 Ge 2.39-2.49
7 Ge 0.5000 0.5000 0.0000  4 Cu 2.49
8 Ge 0.0000 0.0000 0.0000  4 Cu 2.49
9 Ge 0.5000 0.0000 0.6296  3 Cu 2.39-2.44, 2 Be 2.44
10 Ge 0.0000 0.5000 0.3704  3 Cu 2.39-2.44, 2 Be 2.44

Computed properties:
The value obtained for the energy is -4.866 eV/atom. The density of states at the Fermi level is 2.0 states/eV per cell. The energy relative to the elements is -0.47 eV per atom.


# 2
A plane-wave DFT calculation with PBE was carried out for a geometry-optimized VOsRu2 structure.

Cell lengths 4.1900, 4.1900, 4.5150 Å; angles 62.35, 62.35, 60.00 degrees
With the nearest neighbours (Å) after each atom.
Fractional coordinates of all 4 atoms:
1 V 0.7211 0.7211 0.8366  3 Ru 2.43, 4 Os 2.60-2.71
2 Os 0.4942 0.4942 0.5175  4 V 2.60-2.71, 7 Ru 2.64-2.84
3 Ru 0.0307 0.0307 0.9080  3 V 2.43, 4 Ru 2.55-2.73
4 Ru 0.2540 0.2540 0.2379  4 Ru 2.55-2.73, 4 Os 2.64-2.75

Computed properties:
The value obtained for the energy is -9.510 eV/atom. The value obtained for the offset from the most stable computed form is 289 meV per atom. The density of states at the Fermi level is 3.3 states/eV per cell. The energy relative to the elements is 0.21 eV per atom.


# 3
A plane-wave DFT calculation with PBE was carried out for a geometry-optimized Zr2BeHg structure.

Cell lengths 3.1100, 3.1100, 7.8872 Å; angles 90.00, 90.00, 90.00 degrees
With the nearest neighbours (Å) after each atom.
Fractional coordinates of all 4 atoms:
1 Be 0.0000 0.0000 0.5170  4 Hg 2.64, 4 Zr 2.85
2 Hg 0.5000 0.5000 0.7025  4 Be 2.64
3 Zr 0.0000 0.0000 0.9926  8 Zr 3.11-3.20, 4 Hg 3.17
4 Zr 0.5000 0.5000 0.2879  4 Be 2.85, 4 Zr 3.11

Computed properties:
The value obtained for the energy is -5.255 eV/atom. The value obtained for the offset from the most stable computed form is 131 meV per atom. The density of states at the Fermi level is 3.4 states/eV per cell. The energy relative to the elements is 0.03 eV per atom.